A geometry-optimized GdFe5P3 structure, computed with PBE.

a b c (Å): 11.8539 3.6613 10.3452
angles (deg): 90.00 90.00 90.00
Fractional coordinates of all 36 atoms:
Gd (0.2041, 0.2500, 0.0807)
Gd (0.2959, 0.7500, 0.5807)
Gd (0.7041, 0.2500, 0.4193)
Gd (0.7959, 0.7500, 0.9193)
Fe (0.0092, 0.7500, 0.0954)
Fe (0.0107, 0.7500, 0.7078)
Fe (0.0673, 0.7500, 0.4634)
Fe (0.1765, 0.2500, 0.7809)
Fe (0.2020, 0.2500, 0.3750)
Fe (0.2980, 0.7500, 0.8750)
Fe (0.3235, 0.7500, 0.2809)
Fe (0.4327, 0.2500, 0.9634)
Fe (0.4893, 0.2500, 0.2078)
Fe (0.4908, 0.2500, 0.5954)
Fe (0.5092, 0.7500, 0.4046)
Fe (0.5107, 0.7500, 0.7922)
Fe (0.5673, 0.7500, 0.0366)
Fe (0.6765, 0.2500, 0.7191)
Fe (0.7020, 0.2500, 0.1250)
Fe (0.7980, 0.7500, 0.6250)
Fe (0.8235, 0.7500, 0.2191)
Fe (0.9327, 0.2500, 0.5366)
Fe (0.9893, 0.2500, 0.2922)
Fe (0.9908, 0.2500, 0.9046)
P (0.1024, 0.7500, 0.8986)
P (0.1121, 0.2500, 0.5773)
P (0.1273, 0.7500, 0.2669)
P (0.3727, 0.2500, 0.7669)
P (0.3879, 0.7500, 0.0773)
P (0.3976, 0.2500, 0.3986)
P (0.6024, 0.7500, 0.6014)
P (0.6121, 0.2500, 0.9227)
P (0.6273, 0.7500, 0.2331)
P (0.8727, 0.2500, 0.7331)
P (0.8879, 0.7500, 0.4227)
P (0.8976, 0.2500, 0.1014)

Summary:
The space-group type is No. 62. The raw total energy is -8.795 eV/atom. Its density of states at the Fermi level is 30.26 states/eV per cell.